Cd2BiPb8 | PBE | optimized geometry

abc: 5.9198 8.9931 8.3846
angles: 123.86 110.67 90.00
Last column: nearest neighbours and their distance in Å.
Fractional positions:
Pb  0.9510  0.2797  0.9021  2 Cd 3.29-3.53, 8 Pb 3.29-3.63
Pb  0.0490  0.7203  0.0979  2 Cd 3.29-3.53, 8 Pb 3.29-3.63
Pb  0.1339  0.1946  0.2678  3 Cd 3.32-3.45, 5 Pb 3.38-3.63, 2 Bi 3.44
Cd  0.2262  0.6366  0.4525  9 Pb 3.29-3.53, 1 Bi 3.52
Pb  0.3181  0.0864  0.6362  1 Bi 3.37, 1 Cd 3.39, 8 Pb 3.43-3.57
Bi  0.5000  0.0000  0.0000  8 Pb 3.37-3.44, 2 Cd 3.52
Pb  0.8661  0.8054  0.7322  3 Cd 3.32-3.45, 5 Pb 3.38-3.63, 2 Bi 3.44
Pb  0.5959  0.4512  0.1917  3 Cd 3.32-3.42, 1 Bi 3.39, 6 Pb 3.47-3.60
Pb  0.6819  0.9136  0.3638  1 Bi 3.37, 1 Cd 3.39, 8 Pb 3.43-3.57
Cd  0.7738  0.3634  0.5475  9 Pb 3.29-3.53, 1 Bi 3.52
Pb  0.4041  0.5488  0.8083  3 Cd 3.32-3.42, 1 Bi 3.39, 6 Pb 3.47-3.60

Calculated values
size of the total moment = 0.0 μB/cell
DOS at the Fermi energy = 5.23 states/eV per cell
VASP energy = -3.17 eV per atom

Tc2AuBr | PBE | optimized geometry

abc: 4.5947 4.5947 4.5947
angles: 60.00 60.00 60.00
Last column: nearest neighbours and their distance in Å.
Fractional positions:
Br  0.7500  0.7500  0.7500  4 Au 2.81, 4 Tc 2.81
Tc  0.2500  0.2500  0.2500  4 Tc 2.81, 4 Au 2.81
Tc  0.0000  0.0000  0.0000  4 Br 2.81, 4 Tc 2.81
Au  0.5000  0.5000  0.5000  4 Tc 2.81, 4 Br 2.81

Calculated values
size of the total moment = 1.0 μB/cell
DOS at the Fermi energy = 3.82 states/eV per cell
raw formation energy = 1.045 eV per atom
VASP energy = -5.38 eV per atom

Zn2SbPt | PBE | optimized geometry

abc: 3.0137 3.0137 8.1593
angles: 90.00 90.00 89.98
Last column: nearest neighbours and their distance in Å.
Fractional positions:
Zn  0.0000  0.0000  0.0516  4 Pt 2.68
Zn  0.0000  0.0000  0.4484  4 Pt 2.68
Sb  0.5000  0.5000  0.7500  4 Sb 3.01, 8 Zn 3.26
Pt  0.5000  0.5000  0.2500  8 Zn 2.68

Calculated values
size of the total moment = 0.0 μB/cell
DOS at the Fermi energy = 1.14 states/eV per cell
raw formation energy = -0.126 eV per atom
VASP energy = -3.30 eV per atom

Sr3Ru5N12 | PBE | optimized geometry

abc: 11.2410 11.2410 11.2410
angles: 109.47 109.47 109.47
Last column: nearest neighbours and their distance in Å.
Fractional positions:
N  0.8945  0.0803  0.8927  2 Ru 1.82-2.04
N  0.0017  0.6073  0.6876  2 Ru 1.82-2.04
Ru  0.3750  0.1250  0.7500  4 N 1.82
N  0.3945  0.0017  0.3142  2 Ru 1.82-2.04
N  0.8945  0.8142  0.5017  2 Ru 1.82-2.04
N  0.8124  0.4983  0.3927  2 Ru 1.82-2.04
Ru  0.7500  0.6250  0.3750  4 N 1.82
Sr  0.8750  0.1250  0.2500  8 N 2.58-2.77
Ru  0.2500  0.8750  0.1250  4 N 1.82
N  0.5803  0.8927  0.3945  2 Ru 1.82-2.04
N  0.4983  0.8124  0.8927  2 Ru 1.82-2.04
N  0.5017  0.1876  0.1073  2 Ru 1.82-2.04
Ru  0.5000  0.0000  0.5000  6 N 2.04
N  0.9983  0.3927  0.3124  2 Ru 1.82-2.04
Ru  0.5000  0.5000  0.5000  6 N 2.04
N  0.9197  0.8142  0.8124  2 Ru 1.82-2.04
Ru  0.2500  0.3750  0.6250  4 N 1.82
N  0.5017  0.3142  0.8945  2 Ru 1.82-2.04
N  0.6858  0.4983  0.6055  2 Ru 1.82-2.04
Sr  0.2500  0.6250  0.8750  8 N 2.58-2.77
Sr  0.3750  0.6250  0.2500  8 N 2.58-2.77
N  0.4197  0.1073  0.6055  2 Ru 1.82-2.04
Ru  0.0000  0.5000  0.5000  6 N 2.04
Ru  0.8750  0.2500  0.6250  4 N 1.82
Ru  0.1250  0.7500  0.3750  4 N 1.82
N  0.1073  0.4197  0.1055  2 Ru 1.82-2.04
Sr  0.6250  0.2500  0.3750  8 N 2.58-2.77
N  0.3142  0.8124  0.4197  2 Ru 1.82-2.04
N  0.8142  0.8945  0.0017  2 Ru 1.82-2.04
Ru  0.3750  0.2500  0.1250  4 N 1.82
Ru  0.6250  0.7500  0.8750  4 N 1.82
N  0.6858  0.1876  0.5803  2 Ru 1.82-2.04
N  0.6055  0.9983  0.6858  2 Ru 1.82-2.04
Sr  0.3750  0.7500  0.6250  8 N 2.58-2.77
N  0.8927  0.3124  0.4983  2 Ru 1.82-2.04
Sr  0.7500  0.3750  0.1250  8 N 2.58-2.77
Ru  0.5000  0.0000  0.0000  6 N 2.04
Sr  0.2500  0.1250  0.3750  8 N 2.58-2.77
N  0.6073  0.0017  0.1876  2 Ru 1.82-2.04
N  0.0803  0.1858  0.1876  2 Ru 1.82-2.04
Ru  0.0000  0.0000  0.0000  6 N 2.04
N  0.1055  0.9197  0.1073  2 Ru 1.82-2.04
Sr  0.1250  0.8750  0.7500  8 N 2.58-2.77
N  0.6055  0.6073  0.4197  2 Ru 1.82-2.04
N  0.1055  0.1858  0.4983  2 Ru 1.82-2.04
N  0.9983  0.6055  0.1858  2 Ru 1.82-2.04
Ru  0.0000  0.0000  0.5000  6 N 2.04
Sr  0.1250  0.2500  0.8750  8 N 2.58-2.77
N  0.6073  0.6055  0.9197  2 Ru 1.82-2.04
N  0.6876  0.1073  0.0017  2 Ru 1.82-2.04
N  0.3124  0.4197  0.8142  2 Ru 1.82-2.04
Ru  0.7500  0.1250  0.8750  4 N 1.82
N  0.5803  0.6876  0.6858  2 Ru 1.82-2.04
N  0.8142  0.9197  0.3124  2 Ru 1.82-2.04
N  0.6876  0.5803  0.1858  2 Ru 1.82-2.04
N  0.9197  0.1055  0.6073  2 Ru 1.82-2.04
N  0.3927  0.3945  0.0803  2 Ru 1.82-2.04
N  0.3945  0.3927  0.5803  2 Ru 1.82-2.04
N  0.1858  0.0803  0.6876  2 Ru 1.82-2.04
Sr  0.6250  0.3750  0.7500  8 N 2.58-2.77
N  0.8124  0.3142  0.9197  2 Ru 1.82-2.04
Ru  0.6250  0.8750  0.2500  4 N 1.82
Ru  0.8750  0.6250  0.7500  4 N 1.82
N  0.1073  0.6876  0.5017  2 Ru 1.82-2.04
N  0.3142  0.5017  0.3945  2 Ru 1.82-2.04
N  0.3124  0.8927  0.9983  2 Ru 1.82-2.04
N  0.0803  0.8945  0.3927  2 Ru 1.82-2.04
N  0.3927  0.9983  0.8124  2 Ru 1.82-2.04
Sr  0.8750  0.7500  0.1250  8 N 2.58-2.77
N  0.0017  0.3945  0.8142  2 Ru 1.82-2.04
N  0.1858  0.1055  0.9983  2 Ru 1.82-2.04
Ru  0.5000  0.5000  0.0000  6 N 2.04
N  0.8927  0.5803  0.8945  2 Ru 1.82-2.04
N  0.4983  0.6858  0.1055  2 Ru 1.82-2.04
N  0.1876  0.5017  0.6073  2 Ru 1.82-2.04
Sr  0.7500  0.8750  0.6250  8 N 2.58-2.77
Ru  0.0000  0.5000  0.0000  6 N 2.04
N  0.1876  0.6858  0.0803  2 Ru 1.82-2.04
N  0.4197  0.3124  0.3142  2 Ru 1.82-2.04
Ru  0.1250  0.3750  0.2500  4 N 1.82

Calculated values
size of the total moment = 0.0 μB/cell
DOS at the Fermi energy = 27.02 states/eV per cell
raw formation energy = 0.110 eV per atom
VASP energy = -7.46 eV per atom

PPtSe | PBE | optimized geometry

abc: 7.1232 7.1232 7.1232
angles: 156.32 156.32 33.74
Last column: nearest neighbours and their distance in Å.
Fractional positions:
Se  0.3139  0.3139  0.0000  4 Se 2.92, 4 Pt 3.12
P  0.0440  0.0440  0.0000  4 Pt 2.46
Pt  0.6422  0.6422  0.0000  4 P 2.46

Calculated values
size of the total moment = 0.0 μB/cell
DOS at the Fermi energy = 1.51 states/eV per cell
raw formation energy = 0.159 eV per atom
VASP energy = -4.82 eV per atom

KU4Te12Au3 | PBE | optimized geometry

abc: 9.6439 9.6439 9.6439
angles: 109.47 109.47 109.47
Last column: nearest neighbours and their distance in Å.
Fractional positions:
Te  0.6843  0.1706  0.8549  1 Au 2.80, 2 U 3.01
U  0.5000  0.0000  0.0000  6 Te 3.01
Te  0.5138  0.6843  0.8294  1 Au 2.80, 2 U 3.01
Te  0.8294  0.5138  0.6843  1 Au 2.80, 2 U 3.01
Te  0.1706  0.8549  0.6843  1 Au 2.80, 2 U 3.01
U  0.0000  0.5000  0.0000  6 Te 3.01
Te  0.1706  0.4862  0.3157  1 Au 2.80, 2 U 3.01
Au  0.0000  0.5000  0.5000  4 Te 2.80
Te  0.3157  0.1706  0.4862  1 Au 2.80, 2 U 3.01
U  0.5000  0.5000  0.5000  6 Te 3.01
Te  0.8549  0.6843  0.1706  1 Au 2.80, 2 U 3.01
Au  0.5000  0.0000  0.5000  4 Te 2.80
Te  0.3157  0.8294  0.1451  1 Au 2.80, 2 U 3.01
Au  0.5000  0.5000  0.0000  4 Te 2.80
K  0.0000  0.0000  0.0000  12 Te 4.00
Te  0.6843  0.8294  0.5138  1 Au 2.80, 2 U 3.01
Te  0.8294  0.1451  0.3157  1 Au 2.80, 2 U 3.01
U  0.0000  0.0000  0.5000  6 Te 3.01
Te  0.4862  0.3157  0.1706  1 Au 2.80, 2 U 3.01
Te  0.1451  0.3157  0.8294  1 Au 2.80, 2 U 3.01

Calculated values
size of the total moment = 6.5 μB/cell
DOS at the Fermi energy = 28.61 states/eV per cell
raw formation energy = -0.349 eV per atom
VASP energy = -5.04 eV per atom

KFeSe2 | PBE | optimized geometry

abc: 7.2081 7.2081 6.5094
angles: 56.38 56.38 90.00
Last column: nearest neighbours and their distance in Å.
Fractional positions:
Se  0.7432  0.1250  0.2500  2 Fe 2.27
Se  0.8750  0.9932  0.7500  2 Fe 2.27
Se  0.0068  0.6250  0.2500  2 Fe 2.27
K  0.5000  0.5000  0.0000  8 Se 3.36-3.66
K  0.2500  0.7500  0.5000  8 Se 3.36-3.66
Fe  0.7500  0.2500  0.5000  4 Se 2.27
Fe  0.0000  0.0000  0.0000  4 Se 2.27
Se  0.3750  0.2568  0.7500  2 Fe 2.27

Calculated values
size of the total moment = 2.0 μB/cell
DOS at the Fermi energy = 5.71 states/eV per cell
raw formation energy = -0.512 eV per atom
VASP energy = -4.64 eV per atom

Tb2CeEu | PBE | optimized geometry

abc: 5.7731 5.7731 5.7731
angles: 60.00 60.00 60.00
Last column: nearest neighbours and their distance in Å.
Fractional positions:
Ce  0.5000  0.5000  0.5000  8 Tb 3.54
Eu  0.0000  0.0000  0.0000  8 Tb 3.54
Tb  0.7500  0.7500  0.7500  4 Eu 3.54, 4 Ce 3.54
Tb  0.2500  0.2500  0.2500  4 Ce 3.54, 4 Eu 3.54

Calculated values
size of the total moment = 5.6 μB/cell
DOS at the Fermi energy = 11.26 states/eV per cell
VASP energy = -6.13 eV per atom

K3NpRh3S8 | PBE | optimized geometry

abc: 7.2453 7.2460 8.4252
angles: 115.49 89.99 120.00
Last column: nearest neighbours and their distance in Å.
Fractional positions:
S  0.7559  0.5119  0.3104  2 Rh 2.44, 1 Np 2.66
S  0.2791  0.5582  0.3373  3 Rh 2.41
Rh  0.0000  0.5000  0.5000  6 S 2.41-2.44
S  0.7559  0.0544  0.3104  2 Rh 2.44, 1 Np 2.66
Rh  0.5000  0.5000  0.5000  6 S 2.41-2.44
K  0.5000  0.5000  0.0000  6 S 3.15-3.23
S  0.7016  0.9456  0.6897  2 Rh 2.44, 1 Np 2.66
S  0.2441  0.4881  0.6896  2 Rh 2.44, 1 Np 2.66
S  0.2984  0.0544  0.3103  2 Rh 2.44, 1 Np 2.66
S  0.7209  0.4418  0.6627  3 Rh 2.41
K  0.0000  0.0000  0.0000  6 S 3.15-3.23
K  0.0000  0.5000  0.0000  6 S 3.15-3.23
Np  0.0000  0.0000  0.5000  6 S 2.66
S  0.2441  0.9456  0.6896  2 Rh 2.44, 1 Np 2.66
Rh  0.5000  0.0000  0.5000  6 S 2.41-2.44

Calculated values
size of the total moment = 3.0 μB/cell
DOS at the Fermi energy = 6.49 states/eV per cell
raw formation energy = -0.879 eV per atom
VASP energy = -5.63 eV per atom